No. 1
A geometry-optimized RbRe2GeI structure. Source: Alexandria via LeMat-Bulk, functional GGA-PBE.

The structure belongs to space group P4/mmm (No. 123); the cell edges are 5.220, 5.220 and 5.901 Å and the angles 90.00°, 90.00° and 90.00°. The inequivalent atoms are Rb at (0.000, 0.000, 0.000), Re at (0.000, 0.500, 0.000), Ge at (0.000, 0.000, 0.500) and I at (0.500, 0.500, 0.500).

The energy is -2.98 eV/atom. The crystal system is tetragonal.

No. 2
A geometry-optimized MgTcAs3 structure. Source: Alexandria via LeMat-Bulk, functional GGA-PBE.

The structure belongs to space group Pm-3m (No. 221); the cell edges are 4.854, 4.854 and 4.854 Å and the angles 90.00°, 90.00° and 90.00°. The inequivalent atoms are Mg at (0.000, 0.000, 0.000), Tc at (0.500, 0.500, 0.500) and As at (0.000, 0.500, 0.500).

The formation energy from the elements comes out at 168 kJ/mol of formula units. The value obtained for the energy above the most stable polymorph in this dataset is 0.0 meV/atom. The energy is -4.83 eV/atom. The crystal system is cubic.

No. 3
A geometry-optimized EuYTlPd structure. Source: Alexandria via LeMat-Bulk, functional GGA-PBE.

The structure belongs to space group F-43m (No. 216); the cell edges are 7.459, 7.459 and 7.459 Å and the angles 90.00°, 90.00° and 90.00°. The inequivalent atoms are Eu at (0.000, 0.000, 0.000), Y at (0.000, 0.000, 0.500), Tl at (0.250, 0.250, 0.250) and Pd at (0.250, 0.250, 0.750).

The formation energy from the elements comes out at -184 kJ/mol of formula units. The energy is -6.55 eV/atom. The crystal system is cubic.

No. 4
A geometry-optimized TbSmY5Tm2 structure. Source: Alexandria via LeMat-Bulk, functional GGA-PBE.

The structure belongs to space group Cmc2_1 (No. 36); the cell edges are 5.613, 20.101 and 10.476 Å and the angles 90.00°, 90.00° and 90.00°. The inequivalent atoms are Tb at (0.000, 0.087, 0.000), Sm at (0.000, 0.304, 0.566), Y at (0.000, 0.022, 0.289), Y at (0.000, 0.112, 0.577), Y at (0.000, 0.200, 0.257), Y at (0.000, 0.222, 0.867), Y at (0.000, 0.484, 0.574), Tm at (0.000, 0.387, 0.870) and Tm at (0.000, 0.389, 0.288).

The formation energy from the elements comes out at 138 kJ/mol of formula units. The energy is -5.46 eV/atom. The crystal system is orthorhombic.